1.
First-principles (PBE) data for an optimized crystal structure of Nd8Dy3Ho4, as listed in the Alexandria database.

Results
- E_form (eV per atom) = 0.1583
- ρ (g cm⁻³) = 7.49
- E above lowest polymorph (meV/atom) = 0
- DFT total energy (eV per atom) = -4.53

Lattice parameters (Å, degrees): 7.0228 7.0228 35.8178 90.00 90.00 120.00
With the nearest neighbours (Å) after each atom.
Space group R-3m (No. 166, hexagonal axes)
Unique sites:
1 Nd 0.0000 0.0000 0.2457 x6  1 Ho 3.22, 3 Dy 3.48, 6 Nd 3.51
2 Nd 0.0014 0.5007 0.7502 x18  6 Nd 3.50-3.53, 3 Ho 3.55-3.61, 2 Dy 3.60
3 Dy 0.0000 0.5000 0.5000 x9  6 Nd 3.48-3.60, 4 Dy 3.51, 2 Ho 3.51
4 Ho 0.0000 0.0000 0.0000 x3  6 Nd 3.61
5 Ho 0.0000 0.0000 0.3356 x6  4 Nd 3.22-3.55
6 Ho 0.0000 0.0000 0.5000 x3  6 Dy 3.51, 6 Nd 3.61



2.
First-principles (PBE) data for an optimized crystal structure of Te2AsF, as listed in the Alexandria database.

Results
- ρ (g cm⁻³) = 5.74
- E above lowest polymorph (meV/atom) = 287
- DFT total energy (eV per atom) = -3.46
- ΔE_f (raw) (meV per atom) = -262

Lattice parameters (Å, degrees): 7.0973 7.0973 8.0182 90.00 90.00 90.00
With the nearest neighbours (Å) after each atom.
Space group I-42d (No. 122)
Unique sites:
1 Te 0.2474 0.2500 0.1250 x8  2 As 2.69, 2 F 2.71
2 As 0.0000 0.0000 0.0000 x4  4 Te 2.69
3 F 0.0000 0.0000 0.5000 x4  4 Te 2.71



3.
First-principles (PBE) data for an optimized crystal structure of Ac2ScSi3Pt4, as listed in the Alexandria database.

Results
- ρ (g cm⁻³) = 11.19
- DFT total energy (eV per atom) = -6.57
- ΔE_f (raw) (meV per atom) = -1069

Lattice parameters (Å, degrees): 4.4121 4.4121 10.3989 90.00 90.00 90.00
With the nearest neighbours (Å) after each atom.
Space group P-4m2 (No. 115)
Unique sites:
1 Ac 0.0000 0.5000 0.2407 x2  8 Pt 3.34-3.35, 6 Si 3.37-3.48, 2 Sc 3.48
2 Sc 0.0000 0.0000 0.5000 x1  4 Pt 2.66
3 Si 0.0000 0.5000 0.8807 x2  5 Pt 2.47-2.53
4 Si 0.5000 0.5000 0.5000 x1  4 Pt 2.66
5 Pt 0.0000 0.0000 0.0000 x1  4 Si 2.53
6 Pt 0.0000 0.5000 0.6431 x2  3 Si 2.47-2.66, 2 Sc 2.66
7 Pt 0.5000 0.5000 0.0000 x1  4 Si 2.53



4.
First-principles (PBE) data for an optimized crystal structure of PrScGaHg, as listed in the Alexandria database.

Results
- E_form (eV per atom) = -0.4551
- ρ (g cm⁻³) = 7.79
- DFT total energy (eV per atom) = -4.07

Lattice parameters (Å, degrees): 7.2998 7.2998 7.2998 90.00 90.00 90.00
With the nearest neighbours (Å) after each atom.
Space group F-43m (No. 216)
Unique sites:
1 Pr 0.0000 0.0000 0.0000 x4  4 Hg 3.16, 4 Ga 3.16
2 Sc 0.0000 0.0000 0.5000 x4  4 Ga 3.16, 4 Hg 3.16
3 Ga 0.2500 0.2500 0.7500 x4  4 Pr 3.16, 4 Sc 3.16
4 Hg 0.2500 0.2500 0.2500 x4  4 Pr 3.16, 4 Sc 3.16



5.
First-principles (PBE) data for an optimized crystal structure of Ac2BeZnAu6, as listed in the Alexandria database.

Results
- E_form (eV per atom) = -0.5508
- ρ (g cm⁻³) = 12.67
- DFT total energy (eV per atom) = -3.84

Lattice parameters (Å, degrees): 6.5738 6.5787 7.0760 90.26 117.60 119.79
With the nearest neighbours (Å) after each atom.
Space group P-1 (No. 2)
Unique sites:
1 Ac 0.0567 0.2787 0.3354 x2  12 Au 3.41-3.57
2 Be 0.5000 0.5000 0.0000 x1  6 Au 2.31-2.32
3 Zn 0.5000 0.0000 0.5000 x1  6 Au 2.58-2.60
4 Au 0.0200 0.2602 0.8177 x2  1 Be 2.32, 1 Zn 2.59
5 Au 0.4385 0.7407 0.1784 x2  1 Be 2.31, 1 Zn 2.58
6 Au 0.4388 0.2000 0.1798 x2  1 Be 2.32, 1 Zn 2.60



6.
First-principles (PBE) data for an optimized crystal structure of TiTcAsBr2, as listed in the Alexandria database.

Results
- ρ (g cm⁻³) = 5.02
- E above lowest polymorph (meV/atom) = 197
- DFT total energy (eV per atom) = -4.55
- ΔE_f (raw) (meV per atom) = 704

Lattice parameters (Å, degrees): 5.1485 5.1485 4.7474 90.00 90.00 90.00
With the nearest neighbours (Å) after each atom.
Space group P4/mmm (No. 123)
Unique sites:
1 Ti 0.0000 0.0000 0.0000 x1  8 Br 3.50, 4 As 3.64
2 Tc 0.5000 0.5000 0.5000 x1  2 As 2.37, 4 Br 2.57
3 As 0.5000 0.5000 0.0000 x1  2 Tc 2.37
4 Br 0.0000 0.5000 0.5000 x2  2 Tc 2.57



7.
First-principles (PBE) data for an optimized crystal structure of TbPmGa4, as listed in the Alexandria database.

Results
- E_form (eV per atom) = -0.5639
- ρ (g cm⁻³) = 7.94
- E above lowest polymorph (meV/atom) = 0
- DFT total energy (eV per atom) = -4.15

Lattice parameters (Å, degrees): 7.8719 7.8719 7.8719 90.00 90.00 90.00
With the nearest neighbours (Å) after each atom.
Space group F-43m (No. 216)
Unique sites:
1 Tb 0.0000 0.0000 0.0000 x4  12 Ga 3.26, 4 Pm 3.41
2 Pm 0.2500 0.2500 0.7500 x4  12 Ga 3.26, 4 Tb 3.41
3 Ga 0.1251 0.1251 0.3749 x16  6 Ga 2.78



8.
First-principles (PBE) data for an optimized crystal structure of SrSi2Tc2, as listed in the Alexandria database.

Results
- ρ (g cm⁻³) = 6.05
- E above lowest polymorph (meV/atom) = 0
- DFT total energy (eV per atom) = -7.03
- ΔE_f (raw) (meV per atom) = -377

Lattice parameters (Å, degrees): 4.1635 4.1635 10.7524 90.00 90.00 90.00
With the nearest neighbours (Å) after each atom.
Space group I4/mmm (No. 139)
Unique sites:
1 Sr 0.0000 0.0000 0.0000 x2  8 Si 3.25, 8 Tc 3.40
2 Si 0.0000 0.0000 0.3713 x4  4 Tc 2.46
3 Tc 0.0000 0.5000 0.2500 x4  4 Si 2.46



9.
First-principles (PBE) data for an optimized crystal structure of ScPIr, as listed in the Alexandria database.

Results
- E_form (eV per atom) = -0.6114
- ρ (g cm⁻³) = 9.54
- DFT total energy (eV per atom) = -7.48

Lattice parameters (Å, degrees): 2.9789 2.9789 10.5154 90.00 90.00 90.00
With the nearest neighbours (Å) after each atom.
Space group I4mm (No. 107)
Unique sites:
1 Sc 0.0000 0.0000 0.0000 x2  4 P 2.81, 4 Ir 2.96, 4 Sc 2.98
2 P 0.0000 0.0000 0.3235 x2  4 Ir 2.49
3 Ir 0.0000 0.0000 0.6974 x2  4 P 2.49



10.
First-principles (PBE) data for an optimized crystal structure of NaPdF2, as listed in the Alexandria database.

Results
- ρ (g cm⁻³) = 4.69
- E above lowest polymorph (meV/atom) = 295
- DFT total energy (eV per atom) = -4.01
- ΔE_f (raw) (meV per atom) = -1442

Lattice parameters (Å, degrees): 6.0194 6.0194 6.5428 90.00 90.00 90.00
With the nearest neighbours (Å) after each atom.
Space group I-42d (No. 122)
Unique sites:
1 Na 0.0000 0.0000 0.0000 x4  4 F 2.25
2 Pd 0.0000 0.0000 0.5000 x4  4 F 2.31
3 F 0.2435 0.2500 0.1250 x8  2 Na 2.25, 2 Pd 2.31



11.
First-principles (PBE) data for an optimized crystal structure of PIrIO2, as listed in the Alexandria database.

Results
- ρ (g cm⁻³) = 6.23
- E above lowest polymorph (meV/atom) = 246
- DFT total energy (eV per atom) = -4.92
- ΔE_f (raw) (meV per atom) = 223

Lattice parameters (Å, degrees): 3.5785 3.5785 7.9498 90.00 90.00 90.00
With the nearest neighbours (Å) after each atom.
Space group P4/mmm (No. 123)
Unique sites:
1 P 0.0000 0.0000 0.0000 x1  4 O 1.79
2 Ir 0.5000 0.5000 0.5000 x1  4 I 2.53
3 I 0.0000 0.0000 0.5000 x1  4 Ir 2.53
4 O 0.0000 0.5000 0.0000 x2  2 P 1.79



12.
First-principles (PBE) data for an optimized crystal structure of Tl2CuNi2, as listed in the Alexandria database.

Results
- E_form (eV per atom) = 0.2580
- ρ (g cm⁻³) = 11.74
- E above lowest polymorph (meV/atom) = 0
- DFT total energy (eV per atom) = -3.82

Lattice parameters (Å, degrees): 6.5745 6.5745 3.8589 90.00 90.00 90.00
With the nearest neighbours (Å) after each atom.
Space group P4/mbm (No. 127)
Unique sites:
1 Tl 0.1716 0.3284 0.0000 x4  6 Ni 2.64-2.80
2 Cu 0.0000 0.0000 0.5000 x2  4 Ni 2.56
3 Ni 0.1350 0.6350 0.5000 x4  1 Ni 2.51, 2 Cu 2.56, 6 Tl 2.64-2.80



13.
First-principles (PBE) data for an optimized crystal structure of PAu2, as listed in the Alexandria database.

Results
- E_form (eV per atom) = 0.1975
- ρ (g cm⁻³) = 12.63
- DFT total energy (eV per atom) = -3.79

Lattice parameters (Å, degrees): 3.7381 3.7381 9.2328 90.00 90.00 120.00
With the nearest neighbours (Å) after each atom.
Space group P6_3/mmc (No. 194)
Unique sites:
1 P 0.0000 0.0000 0.2500 x2  6 Au 2.60
2 Au 0.3333 0.6667 0.0938 x4  3 P 2.60, 4 Au 2.77-2.88



14.
First-principles (PBE) data for an optimized crystal structure of CePuNCl, as listed in the Alexandria database.

Results
- ρ (g cm⁻³) = 9.16
- DFT total energy (eV per atom) = -9.00
- ΔE_f (raw) (meV per atom) = -1395

Lattice parameters (Å, degrees): 3.5375 3.5375 21.7465 90.00 90.00 120.00
With the nearest neighbours (Å) after each atom.
Space group R3m (No. 160, hexagonal axes)
Unique sites:
1 Ce 0.0000 0.0000 0.0000 x3  3 N 2.51
2 Pu 0.0000 0.0000 0.2076 x3  3 N 2.41
3 N 0.0000 0.0000 0.5997 x3  3 Pu 2.41, 3 Ce 2.51
4 Cl 0.0000 0.0000 0.7728 x3  3 Pu 3.01, 3 Ce 3.08



15.
First-principles (PBE) data for an optimized crystal structure of Cs2DyRhO4, as listed in the Alexandria database.

Results
- ρ (g cm⁻³) = 4.10
- DFT total energy (eV per atom) = -5.65
- ΔE_f (raw) (meV per atom) = -1468

Lattice parameters (Å, degrees): 5.8845 13.7846 23.7816 90.00 90.00 90.00
With the nearest neighbours (Å) after each atom.
Space group Fddd (No. 70, origin choice 2)
Unique sites:
1 Cs 0.1250 0.1250 0.3137 x16  2 O 2.90
2 Dy 0.1250 0.1250 0.1250 x8  4 O 2.16
3 Rh 0.1250 0.1250 0.6250 x8  4 O 2.02
4 O 0.1077 0.2757 0.8515 x32  1 Rh 2.02, 1 Dy 2.16



16.
First-principles (PBE) data for an optimized crystal structure of Sm4AgRh, as listed in the Alexandria database.

Results
- E_form (eV per atom) = -0.3231
- ρ (g cm⁻³) = 8.08
- E above lowest polymorph (meV/atom) = 89
- DFT total energy (eV per atom) = -5.17

Lattice parameters (Å, degrees): 8.8593 13.6774 6.1571 90.00 116.49 90.00
With the nearest neighbours (Å) after each atom.
Space group C2/c (No. 15)
Unique sites:
1 Sm 0.1155 0.1838 0.0792 x8  2 Rh 3.05-3.13, 2 Ag 3.20-3.21
2 Sm 0.2169 0.4298 0.3265 x8  2 Rh 2.85-2.92, 1 Ag 3.17
3 Ag 0.0000 0.3773 0.7500 x4  8 Sm 3.17-3.27
4 Rh 0.0000 0.0023 0.2500 x4  8 Sm 2.85-3.13, 2 Rh 3.08



17.
First-principles (PBE) data for an optimized crystal structure of ZnP, as listed in the Alexandria database.

Results
- E_form (eV per atom) = -0.0965
- ρ (g cm⁻³) = 3.91
- DFT total energy (eV per atom) = -3.44

Lattice parameters (Å, degrees): 5.8725 6.1037 5.4054 90.00 122.32 90.00
With the nearest neighbours (Å) after each atom.
Space group C2/m (No. 12)
Unique sites:
1 Zn 0.0000 0.2187 0.0000 x4  4 P 2.43-2.49, 1 Zn 2.67
2 P 0.0768 0.5000 0.7349 x4  1 P 2.19, 2 Zn 2.43



18.
First-principles (PBE) data for an optimized crystal structure of Al2GaTeP, as listed in the Alexandria database.

Results
- ρ (g cm⁻³) = 3.82
- DFT total energy (eV per atom) = -3.45
- ΔE_f (raw) (meV per atom) = 360

Lattice parameters (Å, degrees): 4.7398 4.7398 5.4595 90.00 90.00 90.00
With the nearest neighbours (Å) after each atom.
Space group P4/mmm (No. 123)
Unique sites:
1 Al 0.0000 0.5000 0.0000 x2  2 P 2.37
2 Ga 0.0000 0.0000 0.5000 x1  4 Te 3.35, 8 Al 3.61
3 Te 0.5000 0.5000 0.5000 x1  2 P 2.73
4 P 0.5000 0.5000 0.0000 x1  4 Al 2.37



19.
First-principles (PBE) data for an optimized crystal structure of Ba2TiRe2, as listed in the Alexandria database.

Results
- E_form (eV per atom) = 1.6092
- ρ (g cm⁻³) = 8.54
- E above lowest polymorph (meV/atom) = 744
- DFT total energy (eV per atom) = -5.72

Lattice parameters (Å, degrees): 4.2671 4.2671 14.8403 90.00 90.00 90.00
With the nearest neighbours (Å) after each atom.
Space group I4/mmm (No. 139)
Unique sites:
1 Ba 0.0000 0.5000 0.2500 x4  4 Ba 3.02, 4 Re 3.38
2 Ti 0.0000 0.0000 0.0000 x2  8 Re 3.21
3 Re 0.0000 0.0000 0.4266 x4  1 Re 2.18



20.
First-principles (PBE) data for an optimized crystal structure of HfGaCl3, as listed in the Alexandria database.

Results
- ρ (g cm⁻³) = 4.58
- E above lowest polymorph (meV/atom) = 1020
- DFT total energy (eV per atom) = -3.51
- ΔE_f (raw) (meV per atom) = 195

Lattice parameters (Å, degrees): 5.0486 5.0486 5.0486 90.00 90.00 90.00
With the nearest neighbours (Å) after each atom.
Space group Pm-3m (No. 221)
Unique sites:
1 Hf 0.0000 0.0000 0.0000 x1  12 Cl 3.57
2 Ga 0.5000 0.5000 0.5000 x1  6 Cl 2.52
3 Cl 0.0000 0.5000 0.5000 x3  2 Ga 2.52



21.
First-principles (PBE) data for an optimized crystal structure of SrTaIr, as listed in the Alexandria database.

Results
- E_form (eV per atom) = -0.3779
- ρ (g cm⁻³) = 9.82
- E above lowest polymorph (meV/atom) = 0
- DFT total energy (eV per atom) = -7.84

Lattice parameters (Å, degrees): 4.5383 4.5383 7.5642 90.00 90.00 90.00
With the nearest neighbours (Å) after each atom.
Space group P4/nmm (No. 129, origin choice 2)
Unique sites:
1 Sr 0.2500 0.2500 0.1482 x2  4 Ta 3.50, 6 Ir 3.51-3.90, 4 Sr 3.91
2 Ta 0.2500 0.7500 0.5000 x2  4 Ir 2.59
3 Ir 0.2500 0.2500 0.6640 x2  4 Ta 2.59



22.
First-principles (PBE) data for an optimized crystal structure of ZnCu4Au, as listed in the Alexandria database.

Results
- E_form (eV per atom) = -0.0677
- ρ (g cm⁻³) = 10.69
- E above lowest polymorph (meV/atom) = 0
- DFT total energy (eV per atom) = -3.56

Lattice parameters (Å, degrees): 4.3512 4.5909 8.0369 90.69 90.02 90.01
With the nearest neighbours (Å) after each atom.
Space group P-1 (No. 2)
Unique sites:
1 Zn 0.2493 0.3339 0.3418 x2  10 Cu 2.57-2.76, 2 Au 2.70
2 Cu 0.2486 0.3264 0.6609 x2  3 Zn 2.57-2.68, 7 Cu 2.61-2.71, 2 Au 2.67-2.70
3 Cu 0.2501 0.3364 0.9987 x2  7 Cu 2.59-2.79, 4 Au 2.65-2.69, 1 Zn 2.76
4 Cu 0.2496 0.8136 0.1728 x2  7 Cu 2.58-2.79, 2 Zn 2.60-2.73, 3 Au 2.71-2.73
5 Cu 0.2511 0.8342 0.4943 x2  7 Cu 2.58-2.70, 4 Zn 2.59-2.66, 1 Au 2.73
6 Au 0.2510 0.8336 0.8335 x2  10 Cu 2.65-2.73, 2 Zn 2.70



23.
First-principles (PBE) data for an optimized crystal structure of Ca2Bi5Rh3, as listed in the Alexandria database.

Results
- E_form (eV per atom) = -0.4294
- ρ (g cm⁻³) = 9.74
- DFT total energy (eV per atom) = -4.98

Lattice parameters (Å, degrees): 4.5951 27.6321 7.6988 90.00 90.00 90.00
With the nearest neighbours (Å) after each atom.
Space group Cmc2_1 (No. 36)
Unique sites:
1 Ca 0.0000 0.0251 0.0000 x4  3 Rh 2.92-3.26, 2 Bi 3.26
2 Ca 0.0000 0.3299 0.0370 x4  8 Bi 3.32-3.68, 4 Rh 3.35-3.69
3 Bi 0.0000 0.0953 0.3794 x4  3 Rh 2.70-2.82
4 Bi 0.0000 0.2020 0.8278 x4  4 Rh 2.80-2.93
5 Bi 0.0000 0.2116 0.2565 x4  3 Rh 2.83-2.84
6 Bi 0.0000 0.3803 0.5014 x4  4 Rh 2.90-3.06
7 Bi 0.0000 0.4555 0.1680 x4  4 Rh 2.79-2.95
8 Rh 0.0000 0.1035 0.7451 x4  6 Bi 2.80-3.06, 1 Ca 2.92
9 Rh 0.0000 0.2744 0.5489 x4  7 Bi 2.83-2.95
10 Rh 0.0000 0.4489 0.7860 x4  5 Bi 2.70-2.95



24.
First-principles (PBE) data for an optimized crystal structure of Ti4TeSe, as listed in the Alexandria database.

Results
- ρ (g cm⁻³) = 5.70
- DFT total energy (eV per atom) = -6.70
- ΔE_f (raw) (meV per atom) = -332

Lattice parameters (Å, degrees): 13.8387 5.7823 6.0818 90.00 107.64 90.00
With the nearest neighbours (Å) after each atom.
Space group C2/c (No. 15)
Unique sites:
1 Ti 0.0852 0.0783 0.4601 x8  1 Se 2.43, 1 Ti 2.70
2 Ti 0.1861 0.3744 0.0949 x8  2 Se 2.46-2.48
3 Te 0.0000 0.3461 0.7500 x4  6 Ti 2.79-2.86
4 Se 0.2500 0.2500 0.5000 x4  6 Ti 2.43-2.48